No. 1
# Ac4Tl3In

An optimized crystal structure of Ac4Tl3In (PBE-GGA, the Alexandria database).

The value obtained for the mass density is 9.6 g/cm3. The formation energy comes out at -0.372 eV per atom. Its space group is Fmmm, No. 69. The energy above the most stable polymorph in this dataset is 0.000 eV per atom. Its crystal system is orthorhombic. The density of states at the Fermi level is 1.075 states/eV per atom.

Structure (POSCAR):
```
Ac4Tl3In
1.0
-3.153 1.785 4.578
2.975 -3.646 3.457
5.642 6.883 -2.510
Tl Ac In
3 4 1
direct
0.000 0.500 0.000
0.750 0.250 0.500
0.250 0.750 0.500
0.124 0.124 0.248
0.376 0.376 0.752
0.624 0.624 0.248
0.876 0.876 0.752
0.500 0.000 0.000
```

No. 2
# CaReAu

An optimized crystal structure of CaReAu (PBE-GGA, the Alexandria database).

The value obtained for the mass density is 12.1 g/cm3. The formation energy comes out at 0.516 eV per atom. Its space group is P-6m2, No. 187. The energy above the most stable polymorph in this dataset is 0.118 eV per atom. Its crystal system is hexagonal. The density of states at the Fermi level is 1.194 states/eV per atom.

Structure (POSCAR):
```
CaReAu
1.0
-4.618 -1.156 1.024
1.982 -1.400 -4.221
0.867 -2.398 1.202
Ca Re Au
1 1 1
direct
0.333 0.667 0.333
0.667 0.333 0.833
0.000 0.000 0.833
```